# 1
The following is a PBE calculation of a relaxed structure of Y3Mg5, from Alexandria.

Cell lengths 9.362, 9.362, 5.839 Å; angles 90.00, 90.00, 120.00 degrees
Atoms (fractional coordinates):
Y 0.603 0.000 0.250
Y 0.397 0.000 0.750
Y 0.000 0.603 0.250
Y 0.397 0.397 0.250
Y 0.603 0.603 0.750
Y 0.000 0.397 0.750
Mg 0.333 0.667 0.000
Mg 0.667 0.333 0.500
Mg 0.667 0.333 0.000
Mg 0.333 0.667 0.500
Mg 0.223 0.000 0.250
Mg 0.777 0.000 0.750
Mg 0.000 0.223 0.250
Mg 0.777 0.777 0.250
Mg 0.223 0.223 0.750
Mg 0.000 0.777 0.750

Total moment: 0.0002 μB/atom
Symmetry: P6_3/mcm, No. 193
Energy relative to the lowest polymorph listed for this composition: 4.60 kcal/mol of atoms
Fermi-level density of states: 7.670 states/eV/f.u.
Energy of formation: 0.113 eV per atom
Crystal system: hexagonal



# 2
The following is a PBE calculation of a relaxed structure of Y3Mg, from Alexandria.

Cell lengths 5.853, 5.853, 3.680 Å; angles 90.00, 90.00, 105.07 degrees
Atoms (fractional coordinates):
Y 0.000 0.500 0.500
Y 0.500 0.000 0.500
Y 0.500 0.500 0.000
Mg 0.000 0.000 0.000

Total moment: 0.0012 μB/atom
Symmetry: Cmmm, No. 65
Fermi-level density of states: 5.389 states/eV/f.u.
Energy of formation: 0.029 eV per atom
Crystal system: orthorhombic



# 3
The following is a PBE calculation of a relaxed structure of YMg, from Alexandria.

Cell lengths 11.482, 11.482, 3.482 Å; angles 90.00, 90.00, 90.00 degrees
Each line ends with the local moment (μB).
Atoms (fractional coordinates):
Y 0.336 0.357 0.000  0.17
Y 0.664 0.643 0.000  0.17
Y 0.643 0.336 0.000  0.17
Y 0.357 0.664 0.000  0.17
Y 0.836 0.857 0.500  0.17
Y 0.164 0.143 0.500  0.17
Y 0.143 0.836 0.500  0.17
Y 0.857 0.164 0.500  0.17
Mg 0.347 0.968 0.000  0.00
Mg 0.653 0.032 0.000  0.00
Mg 0.032 0.347 0.000  0.00
Mg 0.968 0.653 0.000  0.00
Mg 0.847 0.468 0.500  0.00
Mg 0.153 0.532 0.500  0.00
Mg 0.532 0.847 0.500  0.00
Mg 0.468 0.153 0.500  0.00

Total moment: 0.1717 μB/atom
Symmetry: I4/m, No. 87
Fermi-level density of states: 2.722 states/eV/f.u.
Energy of formation: 0.071 eV per atom
Crystal system: tetragonal